The following is a PBE-GGA calculation of a relaxed SrCo2Si crystal, from Alexandria via LeMat-Bulk.

abc: 8.401 8.401 8.401
angles: 147.70 147.70 46.33
Sites, in units of the cell vectors:
Sr: 0.375 0.625 0.750
Sr: 0.625 0.375 0.250
Co: 0.000 0.000 0.000
Co: 0.000 0.000 0.500
Co: 0.000 0.500 0.000
Co: 0.500 0.000 0.500
Si: 0.125 0.875 0.250
Si: 0.875 0.125 0.750

E_form (uncorrected), eV per atom: 0.06
Symmetry: No. 141